Entry 1:
This record from Alexandria describes crystalline Ba2CdIBr at its relaxed geometry. The functional is PBE.

Cell lengths 6.5820, 6.5820, 5.8636 Å; angles 90.00, 90.00, 90.00 degrees
Last column: nearest neighbours and their distance in Å.
Space group P4/mmm (No. 123)
Asymmetric unit:
Ba: 0.0000 0.5000 0.0000 [2 per cell]  2 Cd 3.29
Cd: 0.0000 0.0000 0.0000 [1 per cell]  2 Br 2.93
I: 0.5000 0.5000 0.5000 [1 per cell]  8 Ba 4.41, 4 Br 4.65
Br: 0.0000 0.0000 0.5000 [1 per cell]  2 Cd 2.93

***

Entry 2:
This record from Alexandria describes crystalline K2BaCdBr at its relaxed geometry. The functional is PBE.

Cell lengths 6.4435, 6.4435, 6.8370 Å; angles 90.00, 90.00, 90.00 degrees
Last column: nearest neighbours and their distance in Å.
Space group P4/mmm (No. 123)
Asymmetric unit:
K: 0.0000 0.5000 0.0000 [2 per cell]  2 Cd 3.22
Ba: 0.0000 0.0000 0.5000 [1 per cell]  2 Cd 3.42
Cd: 0.0000 0.0000 0.0000 [1 per cell]  4 K 3.22, 2 Ba 3.42
Br: 0.5000 0.5000 0.5000 [1 per cell]  4 Ba 4.56, 8 K 4.70

***

Entry 3:
This record from Alexandria describes crystalline K2BaCdBr6 at its relaxed geometry. The functional is PBE.

Cell lengths 8.0669, 8.0669, 20.6119 Å; angles 90.00, 90.00, 120.00 degrees
Last column: nearest neighbours and their distance in Å.
Space group R3 (No. 146, hexagonal axes)
Asymmetric unit:
K: 0.0000 0.0000 0.0000 [3 per cell]  6 Br 3.34-3.42
K: 0.0000 0.0000 0.4971 [3 per cell]  6 Br 3.27-3.46
Ba: 0.0000 0.0000 0.2849 [3 per cell]  6 Br 3.18-3.28
Cd: 0.0000 0.0000 0.7881 [3 per cell]  6 Br 2.81-2.87
Br: 0.0341 0.7409 0.8748 [9 per cell]  1 Cd 2.87, 1 Ba 3.18
Br: 0.0657 0.3454 0.3841 [9 per cell]  1 Cd 2.81

***

Entry 4:
This record from Alexandria describes crystalline KBaCd2Br at its relaxed geometry. The functional is PBE.

Cell lengths 6.2194, 6.2194, 5.8128 Å; angles 90.00, 90.00, 90.00 degrees
Last column: nearest neighbours and their distance in Å.
Space group P4/mmm (No. 123)
Asymmetric unit:
K: 0.0000 0.0000 0.0000 [1 per cell]  2 Br 2.91, 4 Cd 3.11
Ba: 0.5000 0.5000 0.5000 [1 per cell]  8 Cd 4.26, 4 Br 4.40
Cd: 0.0000 0.5000 0.0000 [2 per cell]  2 K 3.11
Br: 0.0000 0.0000 0.5000 [1 per cell]  2 K 2.91

***

Entry 5:
This record from Alexandria describes crystalline BaLi2CdBr6 at its relaxed geometry. The functional is PBE.

Cell lengths 14.4447, 11.9822, 8.4358 Å; angles 90.00, 114.66, 90.00 degrees
Last column: nearest neighbours and their distance in Å.
Space group C2/c (No. 15)
Asymmetric unit:
Ba: 0.0000 0.1786 0.2500 [4 per cell]  8 Br 3.27-3.55
Li: 0.1718 0.4606 0.2036 [8 per cell]  4 Br 2.54-2.73
Cd: 0.0000 0.1880 0.7500 [4 per cell]  4 Br 2.59-2.69
Br: 0.1210 0.0553 0.6602 [8 per cell]  1 Cd 2.69, 1 Li 2.73
Br: 0.1316 0.2697 0.0415 [8 per cell]  1 Cd 2.59, 1 Li 2.60
Br: 0.1394 0.3952 0.4659 [8 per cell]  2 Li 2.54-2.57

***

Entry 6:
This record from Alexandria describes crystalline BaLi2CdBr8 at its relaxed geometry. The functional is PBE.

Cell lengths 6.9918, 6.9918, 8.7308 Å; angles 90.00, 90.00, 120.00 degrees
Last column: nearest neighbours and their distance in Å.
Space group P-3 (No. 147)
Asymmetric unit:
Ba: 0.0000 0.0000 0.0000 [1 per cell]  6 Br 3.45
Li: 0.3333 0.6667 0.7025 [2 per cell]  4 Br 2.52-2.61
Cd: 0.0000 0.0000 0.5000 [1 per cell]  6 Br 2.76
Br: 0.0209 0.6993 0.3059 [6 per cell]  1 Li 2.52, 1 Cd 2.76
Br: 0.3333 0.6667 0.0016 [2 per cell]  1 Li 2.61

***

Entry 7:
This record from Alexandria describes crystalline BaLiCd2Br at its relaxed geometry. The functional is PBE.

Cell lengths 6.8222, 6.8222, 6.0946 Å; angles 90.00, 90.00, 90.00 degrees
Last column: nearest neighbours and their distance in Å.
Space group P4/mmm (No. 123)
Asymmetric unit:
Ba: 0.0000 0.0000 0.0000 [1 per cell]  2 Br 3.05, 4 Cd 3.41
Li: 0.5000 0.5000 0.5000 [1 per cell]  8 Cd 4.57, 4 Br 4.82
Cd: 0.0000 0.5000 0.0000 [2 per cell]  2 Ba 3.41
Br: 0.0000 0.0000 0.5000 [1 per cell]  2 Ba 3.05

***

Entry 8:
This record from Alexandria describes crystalline BaMgCd2Br8 at its relaxed geometry. The functional is PBE.

Cell lengths 6.9574, 6.9574, 9.4028 Å; angles 90.00, 90.00, 120.00 degrees
Last column: nearest neighbours and their distance in Å.
Space group P-3 (No. 147)
Asymmetric unit:
Ba: 0.0000 0.0000 0.0000 [1 per cell]  12 Br 3.69-4.02
Mg: 0.0000 0.0000 0.5000 [1 per cell]  6 Br 2.68
Cd: 0.3333 0.6667 0.7250 [2 per cell]  4 Br 2.62-2.64
Br: 0.0309 0.7152 0.3233 [6 per cell]  1 Cd 2.64, 1 Mg 2.68
Br: 0.3333 0.6667 0.0038 [2 per cell]  1 Cd 2.62

***

Density in g cm⁻³, matching the order above: 3.9 2.4 3.5 3.6 3.7 4.1 2.6 4.3
Electronic total energy in eV/cell, matching the order above: -11.354 -8.263 -92.585 -7.919 -125.885 -33.006 -7.835 -33.856